1.
# NaNbBiAs2 | Alexandria via LeMat-Bulk | GGA-PBE | optimized geometry
data_NaNbBiAs2
_chemical_formula_sum 'Na1 Nb1 Bi1 As2'
_cell_length_a 5.044
_cell_length_b 5.044
_cell_length_c 5.630
_cell_angle_alpha 90.00
_cell_angle_beta 90.00
_cell_angle_gamma 90.00
_space_group_name_H-M_alt 'P 4/m m m'
_space_group_IT_number 123
_space_group_name_Hall '-P 4 2'
loop_
_atom_site_label
_atom_site_type_symbol
_atom_site_fract_x
_atom_site_fract_y
_atom_site_fract_z
Na1 Na 0.000 0.000 0.000
Nb1 Nb 0.500 0.500 0.500
Bi1 Bi 0.500 0.500 0.000
As1 As 0.000 0.500 0.500
# Formation enthalpy at 0 K in kcal/mol of atoms: 1.03

***

2.
# NaBi2AsO | Alexandria via LeMat-Bulk | GGA-PBE | optimized geometry
data_NaBi2AsO
_chemical_formula_sum 'Na1 Bi2 As1 O1'
_cell_length_a 5.445
_cell_length_b 5.445
_cell_length_c 4.820
_cell_angle_alpha 90.00
_cell_angle_beta 90.00
_cell_angle_gamma 90.00
_space_group_name_H-M_alt 'P 4/m m m'
_space_group_IT_number 123
_space_group_name_Hall '-P 4 2'
loop_
_atom_site_label
_atom_site_type_symbol
_atom_site_fract_x
_atom_site_fract_y
_atom_site_fract_z
Na1 Na 0.000 0.000 0.000
Bi1 Bi 0.000 0.500 0.000
As1 As 0.000 0.000 0.500
O1 O 0.500 0.500 0.500
# Raw formation energy in eV/atom: 1.1772

***

3.
# NaBi2AsO6 | Alexandria via LeMat-Bulk | GGA-PBE | optimized geometry
data_NaBi2AsO6
_chemical_formula_sum 'Na2 Bi4 As2 O12'
_cell_length_a 5.376
_cell_length_b 6.217
_cell_length_c 9.650
_cell_angle_alpha 90.00
_cell_angle_beta 123.38
_cell_angle_gamma 90.00
_space_group_name_H-M_alt 'P 1 21/c 1'
_space_group_IT_number 14
loop_
_space_group_symop_operation_xyz
'x,y,z'
'-x,-y,-z'
'-x,y+1/2,-z+1/2'
'x,-y+1/2,z+1/2'
loop_
_atom_site_label
_atom_site_type_symbol
_atom_site_fract_x
_atom_site_fract_y
_atom_site_fract_z
Na1 Na 0.000 0.000 0.000
Bi1 Bi 0.212 0.070 0.724
As1 As 0.500 0.000 0.500
O1 O 0.183 0.160 0.483
O2 O 0.249 0.739 0.921
O3 O 0.372 0.072 0.281
# Raw formation energy in eV/atom: -1.3582

***

4.
# Na2BiAsO4 | Alexandria via LeMat-Bulk | GGA-PBE | optimized geometry
data_Na2BiAsO4
_chemical_formula_sum 'Na4 Bi2 As2 O8'
_cell_length_a 5.384
_cell_length_b 5.384
_cell_length_c 9.789
_cell_angle_alpha 90.00
_cell_angle_beta 90.00
_cell_angle_gamma 90.00
_space_group_name_H-M_alt 'I -4'
_space_group_IT_number 82
loop_
_space_group_symop_operation_xyz
'x,y,z'
'y,-x,-z'
'-x,-y,z'
'-y,x,-z'
'x+1/2,y+1/2,z+1/2'
'y+1/2,-x+1/2,-z+1/2'
'-x+1/2,-y+1/2,z+1/2'
'-y+1/2,x+1/2,-z+1/2'
loop_
_atom_site_label
_atom_site_type_symbol
_atom_site_fract_x
_atom_site_fract_y
_atom_site_fract_z
Na1 Na 0.000 0.000 0.000
Na2 Na 0.000 0.500 0.250
Bi1 Bi 0.000 0.000 0.500
As1 As 0.000 0.500 0.750
O1 O 0.212 0.271 0.635
# Raw formation energy in eV/atom: -1.1663

***

Q: Number 4 is which compound?
A: Na2BiAsO4